No. 1
Here is a relaxed structure of LiMo2O4 from Alexandria. Energies are from PBE+U.

The structure in POSCAR format:
```
LiMo2O4
1.0
0.000 4.468 4.468
4.468 0.000 4.468
4.468 4.468 0.000
Li O Mo
2 8 4
Cartesian
6.701 6.701 6.701
4.468 4.468 4.468
7.924 7.924 7.924
5.479 7.924 5.479
5.690 3.245 5.690
7.924 5.479 5.479
3.245 5.690 5.690
3.245 3.245 3.245
5.479 5.479 7.924
5.690 5.690 3.245
3.351 1.117 3.351
1.117 3.351 3.351
3.351 3.351 1.117
1.117 1.117 1.117
```

Computed properties:
The value obtained for the density of states at the Fermi level is 8.7 states/eV/cell. Its magnetic moment is 5.00 μB/f.u. For the energy above the most stable polymorph in this dataset, the calculation gives 0.066 eV per atom. Its symmetry is Fd-3m.



No. 2
Here is a relaxed structure of Li12MoO7 from Alexandria. Energies are from PBE+U.

The structure in POSCAR format:
```
Li12MoO7
1.0
-1.359 -5.860 -4.359
4.597 3.923 -2.486
2.072 -1.761 5.942
Li O Mo
12 7 1
Cartesian
2.433 -1.290 0.644
5.037 -1.001 -0.345
2.878 -2.408 -1.548
2.365 0.720 -1.373
0.427 -4.135 -3.135
4.883 0.437 2.232
4.771 2.374 -0.126
3.046 -0.668 -4.393
0.540 -6.072 -0.777
0.274 -2.697 -0.558
2.945 -4.418 0.469
2.265 -3.031 3.490
3.683 2.060 -1.783
3.763 -2.606 0.196
1.628 -5.759 0.880
-0.679 -2.930 -2.179
5.364 2.220 1.698
-0.053 -5.919 -2.601
1.548 -1.093 -1.099
0.000 0.000 0.000
```

Computed properties:
The value obtained for the density of states at the Fermi level is 2.3 states/eV/cell. Its magnetic moment is 2.61 μB/f.u. Its symmetry is R-3. The calculated total energy comes out at -4.85 eV/atom.